(1)
Ca2SmDy: relaxed, PBE.

Unit cell a=5.8757 b=5.8757 c=5.8757 alpha=60.00 beta=60.00 gamma=60.00
Last column: nearest neighbours and their distance in Å.
Sites, in units of the cell vectors:
Ca1 0.2500 0.2500 0.2500  4 Dy 3.60, 4 Sm 3.60
Ca2 0.7500 0.7500 0.7500  4 Dy 3.60, 4 Sm 3.60
Sm1 0.5000 0.5000 0.5000  8 Ca 3.60
Dy1 0.0000 0.0000 0.0000  8 Ca 3.60

Values from the calculation:
Energy relative to the lowest polymorph listed for this composition = 115.1 meV/atom



(2)
Ca2SmDy: relaxed, PBE.

Unit cell a=4.1512 b=4.1512 c=8.3344 alpha=90.00 beta=90.00 gamma=90.00
Last column: nearest neighbours and their distance in Å.
Sites, in units of the cell vectors:
Ca1 0.0000 0.0000 0.7536  4 Dy 3.58, 4 Sm 3.62
Ca2 0.0000 0.0000 0.2464  4 Dy 3.58, 4 Sm 3.62
Sm1 0.5000 0.5000 0.5000  8 Ca 3.62
Dy1 0.5000 0.5000 0.0000  8 Ca 3.58

Values from the calculation:
Energy relative to the lowest polymorph listed for this composition = 116.7 meV/atom



(3)
CaSm3Dy6: relaxed, PBE.

Unit cell a=6.6401 b=9.5962 c=9.6064 alpha=139.26 beta=110.22 gamma=90.00
Last column: nearest neighbours and their distance in Å.
Sites, in units of the cell vectors:
Ca1 0.5000 0.5000 0.0000  4 Dy 3.36, 2 Sm 3.36
Sm1 0.5679 0.9450 0.1358  4 Dy 3.27-3.41, 1 Sm 3.36, 1 Ca 3.36
Sm2 0.4321 0.0550 0.8642  4 Dy 3.27-3.41, 1 Sm 3.36, 1 Ca 3.36
Sm3 0.0000 0.0000 0.0000  4 Sm 3.72, 10 Dy 3.73-3.74
Dy1 0.4346 0.5664 0.3768  3 Dy 3.27-3.37, 2 Sm 3.27-3.41, 1 Ca 3.36
Dy2 0.0578 0.4336 0.6232  3 Dy 3.27-3.37, 2 Sm 3.27-3.41, 1 Ca 3.36
Dy3 0.5654 0.4336 0.6232  3 Dy 3.27-3.37, 2 Sm 3.27-3.41, 1 Ca 3.36
Dy4 0.9422 0.5664 0.3768  3 Dy 3.27-3.37, 2 Sm 3.27-3.41, 1 Ca 3.36
Dy5 0.1411 0.8581 0.2822  4 Sm 3.73-3.90, 9 Dy 3.88-4.08, 3 Ca 3.90-3.93
Dy6 0.8589 0.1419 0.7178  4 Sm 3.73-3.90, 9 Dy 3.88-4.08, 3 Ca 3.90-3.93



(4)
CaSm4Dy: relaxed, PBE.

Unit cell a=6.7350 b=6.7350 c=6.7350 alpha=60.00 beta=60.00 gamma=60.00
Last column: nearest neighbours and their distance in Å.
Sites, in units of the cell vectors:
Ca1 0.2500 0.2500 0.2500  12 Sm 3.95, 4 Dy 4.12
Sm1 0.6266 0.6266 0.1201  6 Sm 3.32-3.41
Sm2 0.6266 0.1201 0.6266  6 Sm 3.32-3.41
Sm3 0.6266 0.6266 0.6266  6 Sm 3.32-3.41
Sm4 0.1201 0.6266 0.6266  6 Sm 3.32-3.41
Dy1 0.0000 0.0000 0.0000  12 Sm 3.94, 4 Ca 4.12

Values from the calculation:
Energy relative to the lowest polymorph listed for this composition = 161.9 meV/atom



(5)
CaSmDy3: relaxed, PBE.

Unit cell a=6.3703 b=6.7037 c=9.4939 alpha=69.33 beta=90.00 gamma=90.00
Last column: nearest neighbours and their distance in Å.
Sites, in units of the cell vectors:
Ca1 0.7500 0.1883 0.6233  8 Dy 3.61-3.76
Ca2 0.2500 0.8117 0.3767  8 Dy 3.61-3.76
Sm1 0.7500 0.5535 0.8929  10 Dy 3.66-3.83, 2 Sm 3.71
Sm2 0.2500 0.4465 0.1071  10 Dy 3.66-3.83, 2 Sm 3.71
Dy1 0.7500 0.6132 0.2611  4 Dy 3.27-3.44, 1 Ca 3.61, 1 Sm 3.66
Dy2 0.7500 0.1257 0.2611  4 Dy 3.27-3.44, 1 Ca 3.61, 1 Sm 3.66
Dy3 0.2500 0.8743 0.7389  4 Dy 3.27-3.44, 1 Ca 3.61, 1 Sm 3.66
Dy4 0.2500 0.3868 0.7389  4 Dy 3.27-3.44, 1 Ca 3.61, 1 Sm 3.66
Dy5 0.0000 0.0000 0.0000  6 Dy 3.19-3.30
Dy6 0.5000 0.0000 0.0000  6 Dy 3.19-3.30



(6)
CaSm5Dy6: relaxed, PBE.

Unit cell a=6.2372 b=8.0494 c=8.0494 alpha=84.33 beta=97.40 gamma=97.40
Last column: nearest neighbours and their distance in Å.
Sites, in units of the cell vectors:
Ca1 0.0000 0.0000 0.0000  6 Sm 3.62-3.65, 6 Dy 3.65-3.66
Sm1 0.5000 0.8296 0.1704  6 Dy 3.52-3.63, 4 Sm 3.56-3.68, 2 Ca 3.62
Sm2 0.0000 0.6620 0.3380  5 Sm 3.50-3.61, 6 Dy 3.57-3.65, 1 Ca 3.65
Sm3 0.5000 0.5000 0.5000  6 Dy 3.55-3.57, 6 Sm 3.56-3.58
Sm4 0.0000 0.3380 0.6620  5 Sm 3.50-3.61, 6 Dy 3.57-3.65, 1 Ca 3.65
Sm5 0.5000 0.1704 0.8296  6 Dy 3.52-3.63, 4 Sm 3.56-3.68, 2 Ca 3.62
Dy1 0.7467 0.9153 0.5765  5 Sm 3.52-3.65, 6 Dy 3.55-3.67, 1 Ca 3.66
Dy2 0.2533 0.4235 0.0847  5 Sm 3.52-3.65, 6 Dy 3.55-3.67, 1 Ca 3.66
Dy3 0.2568 0.7479 0.7479  5 Sm 3.55-3.63, 6 Dy 3.57-3.67, 1 Ca 3.65
Dy4 0.7432 0.2521 0.2521  5 Sm 3.55-3.63, 6 Dy 3.57-3.67, 1 Ca 3.65
Dy5 0.7467 0.5765 0.9153  5 Sm 3.52-3.65, 6 Dy 3.55-3.67, 1 Ca 3.66
Dy6 0.2533 0.0847 0.4235  5 Sm 3.52-3.65, 6 Dy 3.55-3.67, 1 Ca 3.66



no.,formation energy (kJ per mole of atoms)
1,15.9
2,16.1
3,24.2
4,20.7
5,32.6
6,4.1